[1]
The following is a DFT calculation (GGA-PBE) of a relaxed CaGaTe3 crystal.

Results
**Formation energy from raw total energies**: -0.31 eV per atom
**Polymorph energy (0 for the lowest one)**: 0 meV/atom
**Magnetic moment**: 0.00 μB per cell
**Fermi-level density of states**: 0.701 states/eV/atom

```
data_CaGaTe3
_chemical_formula_sum 'Ca1 Ga1 Te3'
_cell_length_a 5.4427
_cell_length_b 5.4427
_cell_length_c 5.4427
_cell_angle_alpha 90.00
_cell_angle_beta 90.00
_cell_angle_gamma 90.00
_space_group_name_H-M_alt 'P m -3 m'
_space_group_IT_number 221
_space_group_name_Hall '-P 4 2 3'
loop_
_atom_site_label
_atom_site_type_symbol
_atom_site_fract_x
_atom_site_fract_y
_atom_site_fract_z
_atom_site_occupancy
Ca1 Ca 0.0000 0.0000 0.0000 1
Ga1 Ga 0.5000 0.5000 0.5000 1
Te1 Te 0.0000 0.5000 0.5000 1
```



[2]
The following is a DFT calculation (GGA-PBE) of a relaxed CsTmCoCl6 crystal.

Results
**Formation energy from raw total energies**: -1.66 eV per atom
**Magnetic moment**: 6.00 μB per cell
**Fermi-level density of states**: 0.081 states/eV/atom

```
data_CsTmCoCl6
_chemical_formula_sum 'Cs2 Tm2 Co2 Cl12'
_cell_length_a 6.6421
_cell_length_b 11.5170
_cell_length_c 7.8534
_cell_angle_alpha 90.00
_cell_angle_beta 90.27
_cell_angle_gamma 90.00
_space_group_name_H-M_alt 'C 1 2 1'
_space_group_IT_number 5
loop_
_space_group_symop_operation_xyz
'x,y,z'
'-x,y,-z'
'x+1/2,y+1/2,z'
'-x+1/2,y+1/2,-z'
loop_
_atom_site_label
_atom_site_type_symbol
_atom_site_fract_x
_atom_site_fract_y
_atom_site_fract_z
_atom_site_occupancy
Cs1 Cs 0.0000 0.0000 0.0000 1
Tm1 Tm 0.0000 0.3336 0.5000 1
Co1 Co 0.0000 0.6673 0.5000 1
Cl1 Cl 0.1173 0.5081 0.6882 1
Cl2 Cl 0.1758 0.8076 0.6845 1
Cl3 Cl 0.2002 0.1838 0.6851 1
```